16
Lattice="3.6840 -4.5406 0.0000 3.6840 4.5406 0.0000 -3.0629 0.0000 6.8527" Properties=species:S:1:pos:R:3 comment="CdInAsO5 | Alexandria via LeMat-Bulk | GGA-PBE | relaxed" dft_energy_ev_per_atom=-5.46 pbc="T T T"
Cd 1.3868 2.9495 5.1395
Cd 2.9182 -2.9495 1.7132
In 3.6840 0.0000 0.0000
In 2.1525 0.0000 3.4263
As 2.9182 3.0625 1.7132
As 1.3868 -3.0625 5.1395
O -1.5192 0.3547 6.2091
O 1.8179 2.0889 2.6141
O 0.0123 -0.3547 2.7827
O 4.0186 2.0889 0.8122
O 1.3868 0.8335 5.1395
O 2.9182 -0.8335 1.7132
O 0.2864 -2.0889 6.0405
O 4.2927 0.3547 4.0700
O 2.4871 -2.0889 4.2386
O 5.8242 -0.3547 0.6436